The following is a PBE calculation of a geometry-optimized CaSiH structure, from Alexandria via LeMat-Bulk.

a = 6.509 Å, b = 6.509 Å, c = 3.869 Å
α = 90.00°, β = 90.00°, γ = 142.61°
Atoms (fractional coordinates):
Ca  0.160  0.840  0.750
Ca  0.840  0.160  0.250
Si  0.448  0.552  0.750
Si  0.552  0.448  0.250
H  0.255  0.745  0.250
H  0.745  0.255  0.750

Properties
Its polymorph energy (0 for the lowest one) is 3.5 kJ per mole of atoms. As for the symmetry: Cmcm. Its calculated total energy is -24.08 eV/cell.

The following is a PBE calculation of a geometry-optimized Ba5PtAu2O structure, from Alexandria via LeMat-Bulk.

a = 10.211 Å, b = 10.211 Å, c = 14.311 Å
α = 90.00°, β = 90.00°, γ = 154.07°
Atoms (fractional coordinates):
Ba  0.007  0.993  0.500
Ba  0.153  0.847  0.747
Ba  0.176  0.824  0.115
Ba  0.209  0.791  0.416
Ba  0.467  0.533  0.734
Ba  0.533  0.467  0.234
Ba  0.791  0.209  0.916
Ba  0.824  0.176  0.615
Ba  0.847  0.153  0.247
Ba  0.993  0.007  0.000
Pt  0.307  0.693  0.768
Pt  0.693  0.307  0.268
Au  0.370  0.630  0.068
Au  0.388  0.612  0.416
Au  0.612  0.388  0.916
Au  0.630  0.370  0.568
O  0.048  0.952  0.152
O  0.952  0.048  0.652

Properties
As for the symmetry: Cmc2_1. Its calculated total energy is -73.19 eV/cell. For the raw formation energy, the calculation gives -1.05 eV/atom.

The following is a PBE calculation of a geometry-optimized Ag2Hg structure, from Alexandria via LeMat-Bulk.

a = 5.636 Å, b = 5.636 Å, c = 6.828 Å
α = 105.12°, β = 105.12°, γ = 34.22°
Atoms (fractional coordinates):
Ag  0.000  0.000  0.000
Ag  0.045  0.045  0.587
Ag  0.337  0.337  0.669
Ag  0.668  0.668  0.338
Hg  0.381  0.381  0.263
Hg  0.706  0.706  0.910

Properties
Its polymorph energy (0 for the lowest one) is 1.8 kJ per mole of atoms. As for the symmetry: Cm. Its calculated total energy is -11.59 eV/cell. The calculated formation energy is 0.07 eV per atom.

The following is a PBE calculation of a geometry-optimized CsRbNiBr6 structure, from Alexandria via LeMat-Bulk.

a = 7.582 Å, b = 7.582 Å, c = 7.578 Å
α = 119.99°, β = 119.99°, γ = 89.93°
Atoms (fractional coordinates):
Cs  0.000  0.000  0.000
Rb  0.500  0.500  0.000
Ni  0.250  0.750  0.500
Br  0.024  0.524  0.500
Br  0.024  0.976  0.500
Br  0.025  0.524  0.048
Br  0.476  0.524  0.500
Br  0.476  0.975  0.952
Br  0.476  0.976  0.500

Properties
As for the symmetry: C2. Its calculated total energy is -26.01 eV/cell. For the raw formation energy, the calculation gives -0.93 eV/atom.